# 1
Ag4HgBr6: optimized geometry, PBE.

The structure belongs to space group Cc (No. 9); the cell edges are 13.0812, 7.6400 and 14.9562 Å and the angles 90.00°, 107.16° and 90.00°. The distinct sites, in fractional coordinates, are Ag at (0.0000, 0.0636, 0.0000), Ag at (0.2697, 0.2455, 0.2844), Ag at (0.3480, 0.0702, 0.0014), Ag at (0.4303, 0.2683, 0.7795), Hg at (0.1040, 0.2661, 0.7753), Br at (0.0113, 0.2743, 0.4630), Br at (0.0770, 0.0691, 0.2046), Br at (0.1599, 0.2541, 0.9608), Br at (0.2401, 0.4282, 0.7006), Br at (0.3150, 0.2705, 0.4684) and Br at (0.4083, 0.0765, 0.2055).

---

# 2
Ag3HgBr4: optimized geometry, PBE.

Its density of states at the Fermi level is 4.63 states/eV/f.u.

The structure belongs to space group I-42m (No. 121); the cell edges are 6.5091, 6.5091 and 12.6583 Å and the angles 90.00°, 90.00° and 90.00°. The distinct sites, in fractional coordinates, are Ag at (0.0000, 0.0000, 0.0000), Ag at (0.0000, 0.5000, 0.2500), Hg at (0.0000, 0.0000, 0.5000) and Br at (0.2317, 0.2317, 0.8661).

---

# 3
AgHg3Br2: optimized geometry, PBE.

Its density of states at the Fermi level is 1.12 states/eV/f.u.

The structure belongs to space group C2/m (No. 12); the cell edges are 15.9118, 3.7441 and 6.1918 Å and the angles 90.00°, 112.77° and 90.00°. The distinct sites, in fractional coordinates, are Ag at (0.0000, 0.0000, 0.0000), Hg at (0.0000, 0.0000, 0.5000), Hg at (0.1439, 0.5000, 0.1445) and Br at (0.2081, 0.5000, 0.7085).

---

Number 1: formation energy (no corrections) -0.356 eV per atom, total magnetic moment 0.000 Bohr magnetons per cell. Number 2: formation energy (no corrections) -0.262 eV per atom, total magnetic moment 0.000 Bohr magnetons per cell. Number 3: formation energy (no corrections) -0.120 eV per atom, total magnetic moment 0.000 Bohr magnetons per cell.